## Cu2SeO2 (PBE)

Data for a relaxed Cu2SeO2 crystal.

## Properties
- raw formation energy (meV/atom) = 180
- total magnetic moment (μB per cell) = 0.0
- excess energy over the best structure of this formula in the dataset (eV/f.u.) = 0.81
- crystal system = tetragonal
- space group = P4/mbm (127)

POSCAR file:
```
Cu2SeO2
1.0
6.380 0.000 0.000
0.000 6.380 0.000
0.000 0.000 2.744
Cu Se O
4 2 4
Cartesian
0.901 2.288 0.000 Cu
2.288 5.478 0.000 Cu
4.091 0.901 0.000 Cu
5.478 4.091 0.000 Cu
0.000 0.000 0.000 Se
3.190 3.190 0.000 Se
0.939 4.129 1.372 O
2.251 0.939 1.372 O
4.129 5.441 1.372 O
5.441 2.251 1.372 O
```